This record from Alexandria via LeMat-Bulk describes crystalline Tl2SnTeSe at its relaxed geometry. The functional is PBE-GGA.

a b c (Å): 7.801 4.393 10.411
angles (deg): 90.00 104.15 90.00
Space group P2_1/m (No. 11)
One atom of each set of equivalent atoms:
Tl 0.147 0.250 0.106 [2 per cell]
Tl 0.270 0.250 0.491 [2 per cell]
Sn 0.398 0.250 0.873 [2 per cell]
Te 0.170 0.750 0.728 [2 per cell]
Se 0.362 0.750 0.276 [2 per cell]

Properties
Theoretical density in g/cm³: 7.05
E_tot in eV/cell: -34.20
Formation energy without anion corrections in eV per atom: -0.348
Crystal system: monoclinic
Magnetization in Bohr magnetons per cell: 0.00

=====

This record from Alexandria via LeMat-Bulk describes crystalline SrLi2HgAu at its relaxed geometry. The functional is PBE-GGA.

a b c (Å): 4.969 4.969 5.383
angles (deg): 90.00 90.00 90.00
Space group P4/mmm (No. 123)
One atom of each set of equivalent atoms:
Sr 0.000 0.000 0.000 [1 per cell]
Li 0.000 0.500 0.500 [2 per cell]
Hg 0.500 0.500 0.000 [1 per cell]
Au 0.500 0.500 0.500 [1 per cell]

Properties
Theoretical density in g/cm³: 6.24
E_tot in eV/cell: -10.47
Crystal system: tetragonal
Formation enthalpy at 0 K in eV/atom: -0.277
Magnetization in Bohr magnetons per cell: 0.00

=====

This record from Alexandria via LeMat-Bulk describes crystalline BaSrW3 at its relaxed geometry. The functional is PBE-GGA.

a b c (Å): 5.154 5.154 5.154
angles (deg): 90.00 90.00 90.00
Space group Pm-3m (No. 221)
One atom of each set of equivalent atoms:
Ba 0.000 0.000 0.000 [1 per cell]
Sr 0.500 0.500 0.500 [1 per cell]
W 0.000 0.000 0.500 [3 per cell]

Properties
Theoretical density in g/cm³: 9.42
E_tot in eV/cell: -26.36
Crystal system: cubic
Formation enthalpy at 0 K in eV/atom: 3.221
Magnetization in Bohr magnetons per cell: 1.31